Entry from the Alexandria database: La2ZrV4 after structural relaxation (PBE).

Cell lengths 4.807, 4.807, 8.600 Å; angles 73.77, 73.77, 90.00 degrees
Each line ends with the local moment (μB).
Atoms (fractional coordinates):
La 0.367 0.367 0.266  0.15
La 0.633 0.633 0.734  0.15
V 0.168 0.168 0.664  2.52
V 0.000 0.500 0.000  1.16
V 0.832 0.832 0.336  2.52
V 0.500 0.000 0.000  1.16
Zr 0.000 0.000 0.000  0.01

VASP energy: -47.3 eV per cell
Fermi-level density of states: 10.1 states/eV per cell
energy relative to the elements: 7.534 eV/f.u.